# 1
A relaxed PmNpRu crystal. Source: the Alexandria database, functional PBE.

Structure (POSCAR):
```
PmNpRu
1.0
-1.543 -2.370 -2.113
-0.716 -2.029 2.798
-3.739 4.799 0.297
Np Pm Ru
1 1 1
Direct
0.297 0.297 0.594
0.004 0.004 0.007
0.699 0.699 0.399
```

Calculated values
E	-0.3275	Ha/atom
crystal system	tetragonal
space-group type	I4mm

***

# 2
A relaxed Ca3Ge3Bi2O12 crystal. Source: the Alexandria database, functional PBE.

Structure (POSCAR):
```
Ca3Ge3Bi2O12
1.0
-10.196 3.772 -3.320
-1.288 -7.363 8.563
6.340 8.773 3.468
Bi Ge O Ca
8 12 48 12
Direct
0.500 0.000 0.500
0.500 0.000 0.000
0.000 0.000 0.500
0.500 0.500 0.500
0.000 0.500 0.500
0.000 0.500 0.000
0.500 0.500 0.000
0.000 0.000 0.000
0.250 0.625 0.375
0.250 0.125 0.875
0.125 0.750 0.875
0.750 0.375 0.625
0.375 0.250 0.625
0.625 0.375 0.250
0.375 0.625 0.750
0.625 0.750 0.375
0.750 0.875 0.125
0.125 0.875 0.250
0.875 0.125 0.750
0.875 0.250 0.125
0.395 0.799 0.524
0.524 0.395 0.799
0.299 0.895 0.024
0.201 0.476 0.605
0.775 0.871 0.976
0.225 0.129 0.024
0.629 0.725 0.524
0.596 0.201 0.225
0.105 0.976 0.701
0.629 0.404 0.105
0.871 0.976 0.775
0.476 0.371 0.275
0.225 0.596 0.201
0.596 0.895 0.371
0.275 0.476 0.371
0.404 0.799 0.775
0.605 0.201 0.476
0.895 0.371 0.596
0.129 0.024 0.225
0.976 0.701 0.105
0.799 0.524 0.395
0.371 0.275 0.476
0.371 0.596 0.895
0.775 0.404 0.799
0.105 0.629 0.404
0.701 0.105 0.976
0.395 0.096 0.871
0.275 0.299 0.904
0.096 0.871 0.395
0.096 0.725 0.701
0.404 0.105 0.629
0.904 0.129 0.605
0.799 0.775 0.404
0.976 0.775 0.871
0.201 0.225 0.596
0.605 0.904 0.129
0.476 0.605 0.201
0.024 0.225 0.129
0.299 0.904 0.275
0.904 0.275 0.299
0.725 0.524 0.629
0.524 0.629 0.725
0.701 0.096 0.725
0.725 0.701 0.096
0.129 0.605 0.904
0.024 0.299 0.895
0.895 0.024 0.299
0.871 0.395 0.096
0.875 0.625 0.250
0.125 0.250 0.375
0.875 0.750 0.625
0.625 0.250 0.875
0.625 0.875 0.750
0.250 0.375 0.125
0.750 0.125 0.375
0.750 0.625 0.875
0.375 0.125 0.250
0.375 0.750 0.125
0.250 0.875 0.625
0.125 0.375 0.750
```

Calculated values
formation energy (no corrections)	-2041.0	meV/atom
crystal system	cubic
space-group type	Ia-3d

***

# 3
A relaxed EuDy2N crystal. Source: the Alexandria database, functional PBE.

Structure (POSCAR):
```
EuDy2N
1.0
3.495 0.000 0.000
1.747 3.027 0.000
1.747 1.009 9.613
Dy N Eu
2 1 1
Direct
0.879 0.879 0.362
0.121 0.121 0.638
0.500 0.500 0.500
0.000 0.000 0.000
```

Calculated values
formation energy (no corrections)	-685.7	meV/atom
crystal system	trigonal
space-group type	R-3m